Entry 1:
Compound: CdReCl2
Source: Alexandria
Functional: GGA-PBE
Structure: optimized geometry

Structure (CIF):
```
data_CdReCl2
_chemical_formula_sum 'Cd2 Re2 Cl4'
_cell_length_a 3.840
_cell_length_b 3.840
_cell_length_c 11.346
_cell_angle_alpha 90.00
_cell_angle_beta 90.00
_cell_angle_gamma 90.00
_symmetry_space_group_name_H-M 'I -4 m 2'
_symmetry_Int_Tables_number 119
_symmetry_space_group_name_Hall 'I -4 -2'
loop_
_atom_site_label
_atom_site_type_symbol
_atom_site_fract_x
_atom_site_fract_y
_atom_site_fract_z
Cd1 Cd 0.000 0.000 0.000
Re1 Re 0.000 0.500 0.250
Cl1 Cl 0.000 0.000 0.500
Cl2 Cl 0.000 0.500 0.750
```

Calculated values
As for the crystal system: tetragonal. The value obtained for the energy relative to the lowest polymorph listed for this composition is 893.0 meV/atom.



Entry 2:
Compound: CaSIO2
Source: Alexandria
Functional: GGA-PBE
Structure: optimized geometry

Structure (CIF):
```
data_CaSIO2
_chemical_formula_sum 'Ca1 S1 I1 O2'
_cell_length_a 4.254
_cell_length_b 4.254
_cell_length_c 7.846
_cell_angle_alpha 90.00
_cell_angle_beta 90.00
_cell_angle_gamma 90.00
_symmetry_space_group_name_H-M 'P 4/m m m'
_symmetry_Int_Tables_number 123
_symmetry_space_group_name_Hall '-P 4 2'
loop_
_atom_site_label
_atom_site_type_symbol
_atom_site_fract_x
_atom_site_fract_y
_atom_site_fract_z
Ca1 Ca 0.000 0.000 0.000
S1 S 0.500 0.500 0.500
I1 I 0.000 0.000 0.500
O1 O 0.000 0.500 0.000
```

Calculated values
As for the crystal system: tetragonal.



Looking at volume for the records above, in order, we have 20.91, 28.39 A^3/atom.
Looking at energy relative to the elements, uncorrected for the records above, in order, we have 922, -203 meV/atom.
Looking at total energy for the records above, in order, we have -26.74, -18.61 eV for the cell shown.